VASP calculation (PBE) on a relaxed structure of DyHo3In2.

Results
**Energy of formation**: 0.116 eV per atom
**Crystal system**: orthorhombic
**Distance to the lowest polymorph of the same formula**: 473 meV/atom

extended XYZ file:
```
6
Lattice="-1.692 2.813 9.324 1.692 -2.813 9.324 1.692 2.813 -9.324" Properties=species:S:1:pos:R:3 pbc="T T T"
Dy 0.000 0.000 0.000
Ho 0.000 0.000 3.503
Ho 0.000 2.813 0.000
Ho 0.000 0.000 15.146
In 0.000 0.000 6.620
In 0.000 0.000 12.028
```